Computed, not measured: crystalline RbCd at its relaxed geometry at the GGA-PBE level of DFT.

Computed properties:
Energy relative to the elements (eV per atom): 0.00
Magnetization (μB per formula unit): 0.000

Cell: 10.5660 10.5660 6.1046 Å, 90.00 90.00 120.00°
Space group P6_3/mmc (No. 194)
Symmetry-distinct sites (fractional):
Rb: 0.1834 0.3668 0.2500 (multiplicity 6)
Cd: 0.1375 0.5688 0.7500 (multiplicity 6)